Computed, not measured: a relaxed ZrSbPb2 crystal at the PBE-GGA level of DFT.

Properties
SG: Pmmm
N(E_F): 3.08 states/eV/f.u.
Final energy: -4.99 eV/atom

Unit cell a=3.920 b=5.037 c=5.401 alpha=90.00 beta=90.00 gamma=90.00
Fractional positions:
Zr 0.000 0.000 0.000
Sb 0.500 0.500 0.000
Pb 0.000 0.500 0.500
Pb 0.500 0.000 0.500